DFT (PBE) results for crystalline TbIn6Hg at its relaxed geometry.

Structure (extended XYZ):
```
8
Lattice="-2.731 -3.485 0.222 5.348 -4.123 1.070 -0.630 0.923 6.745" Properties=species:S:1:pos:R:3 pbc="T T T"
Tb -1.365 -1.742 0.111
In 3.508 -2.379 5.811
Hg 0.994 -3.342 4.019
In 0.905 -0.372 5.288
In 1.211 -0.821 2.005
In 1.309 -3.804 0.646
In 3.813 -2.827 2.527
In -1.680 -1.281 3.484
```

- DFT total energy: -22.49 eV per formula unit
- SG: Cmmm, No. 65
- Density: 8.4 g cm⁻³
- Total moment: 0.0 μB per formula unit

=====

DFT (PBE) results for crystalline TbIn4Hg4 at its relaxed geometry.

Structure (extended XYZ):
```
9
Lattice="4.834 0.000 1.143 2.360 4.278 0.812 -0.174 -1.816 11.537" Properties=species:S:1:pos:R:3 pbc="T T T"
In 4.314 1.328 3.342
Hg 2.091 2.793 1.952
In 6.130 2.664 6.462
In 2.706 1.134 10.150
Hg 5.415 2.623 9.486
Tb 2.417 0.000 0.571
Hg 4.930 -0.331 11.540
In 0.891 -0.202 7.030
Hg 1.606 -0.161 4.006
```

- DFT total energy: -17.91 eV per formula unit
- SG: C2/m, No. 12
- Density: 9.8 g cm⁻³
- Total moment: 0.0 μB per formula unit

=====

DFT (PBE) results for crystalline Tb3InHg2 at its relaxed geometry.

Structure (extended XYZ):
```
6
Lattice="-2.729 -1.562 -2.030 2.505 -2.246 -1.640 -1.612 -7.716 8.107" Properties=species:S:1:pos:R:3 pbc="T T T"
Tb -0.528 -2.530 2.658
In -0.918 -5.762 2.219
Hg -1.460 -8.357 4.946
Hg -0.376 -3.167 -0.508
Tb 0.000 0.000 0.000
Tb -1.084 -5.186 5.449
```

- DFT total energy: -20.09 eV per formula unit
- SG: P4/mmm, No. 123
- Density: 10.4 g cm⁻³
- Total moment: 0.0 μB per formula unit

=====

DFT (PBE) results for crystalline Tb3InHg at its relaxed geometry.

Structure (extended XYZ):
```
10
Lattice="5.032 0.000 1.150 0.000 5.161 0.000 0.175 0.000 10.818" Properties=species:S:1:pos:R:3 pbc="T T T"
Tb 4.599 3.870 10.557
Tb 1.349 3.870 1.609
Tb 0.459 3.870 5.502
Hg 2.524 3.870 8.049
Tb 2.979 1.290 6.061
In 5.051 1.290 8.580
Tb 2.089 1.290 9.954
Tb 3.871 1.290 2.156
Hg 0.913 1.290 3.514
In 3.419 3.870 4.134
```

- DFT total energy: -18.73 eV per formula unit
- SG: Cmcm, No. 63
- Density: 9.4 g cm⁻³
- Total moment: 0.6 μB per formula unit